(1)
44
Lattice="-5.9244 0.3562 -1.5340 1.7480 -1.5951 -7.1214 -1.4738 -13.2703 2.6106" Properties=species:S:1:pos:R:3 comment="P2PdPbO7, optimized geometry, DFT PBE" space_group=Pnma formation_energy_uncorrected_kj_per_mol_fu=-1850 total_energy_ev_per_atom=-6.69 pbc="T T T"
P -1.0179 -9.3837 -4.3719
P -0.4106 -2.6303 -5.1493
P -4.6323 -5.1256 -1.6728
P -5.2396 -11.8790 -0.8954
P -4.9971 -7.8850 -0.9044
P -4.0246 -1.4649 -3.1697
P -0.6530 -6.6242 -5.1403
P -1.6256 -13.0444 -2.8750
Pd 0.1371 -7.4327 -2.2554
Pd -2.9622 0.1781 -0.7670
Pd -2.8251 -7.2546 -3.0224
Pd 0.0000 0.0000 0.0000
Pb -2.1576 -10.1665 -0.1520
Pb -1.3865 -3.5626 -1.5967
Pb -3.4925 -4.3427 -5.8927
Pb -4.2636 -10.9466 -4.4481
O -5.3637 -8.6303 0.3382
O -3.8758 -2.6804 -4.0265
O -0.2865 -5.8789 -6.3829
O -1.7743 -11.8288 -2.0182
O -0.6688 -8.2256 -5.4511
O -0.4618 -1.1069 -4.5976
O -4.9813 -6.2836 -0.5936
O -5.1883 -13.4023 -1.4471
O -6.0666 -8.0740 -2.0261
O -2.9735 -1.4416 -2.0154
O -2.1027 -6.2838 -4.6709
O -0.1575 -13.2190 -3.3770
O 0.4165 -6.4352 -4.0186
O -2.6767 -13.0676 -4.0293
O -3.5475 -8.2255 -1.3738
O -5.4926 -1.2902 -2.6677
O -0.9212 -10.7173 -5.0549
O -0.7584 -3.5583 -4.0214
O -4.7289 -3.7919 -0.9898
O -4.8917 -10.9509 -2.0233
O 0.0250 -9.2551 -3.2138
O -1.4499 -2.7274 -6.3136
O -3.1813 -5.4040 -2.1852
O -6.6940 -11.6319 -0.3768
O -5.6751 -5.2541 -2.8309
O -4.2002 -11.7819 0.2689
O -2.4688 -9.1052 -3.8595
O 1.0438 -2.8773 -5.6679

***

(2)
42
Lattice="-8.7400 15.1688 0.9354 -3.4742 -1.8434 -2.5685 -3.9495 -2.5563 4.5515" Properties=species:S:1:pos:R:3 comment="SiP4PdPbO14, optimized geometry, DFT PBE" space_group=P2_1/m formation_energy_uncorrected_kj_per_mol_fu=-4051 total_energy_ev_per_atom=-7.02 pbc="T T T"
Si 0.0000 0.0000 0.0000
Si -4.3700 7.5844 0.4677
P -4.0678 -0.0055 2.7483
P -9.8894 6.9450 -0.0661
P -12.0959 10.7745 0.1701
P -6.2744 3.8241 2.9844
P -3.1200 -0.0498 -0.0252
P -10.1803 5.8491 2.6371
P -13.0438 10.8189 2.9436
P -5.9835 4.9199 0.2813
Pd -6.8996 0.9942 1.5561
Pd -9.2642 9.7749 1.3623
Pb -3.1582 3.2129 0.5339
Pb -13.0055 7.5561 2.3845
O -3.6371 -0.6997 1.3693
O -9.4337 6.1008 1.2181
O -12.5266 11.4688 1.5491
O -6.7300 4.6682 1.7003
O -7.0592 -2.7586 1.3101
O -5.9333 8.0239 1.2689
O -9.1045 13.5276 1.6082
O -10.2304 2.7452 1.6495
O -6.8151 -0.4895 0.1615
O -7.9525 8.8355 2.6074
O -9.3486 11.2585 2.7568
O -8.2112 1.9336 0.3109
O -5.6073 0.0782 2.8217
O -9.1912 8.3214 -0.0495
O -10.5565 10.6909 0.0966
O -6.9725 2.4476 2.9679
O -1.6946 0.4723 0.2410
O -11.3617 4.9037 2.3448
O -14.4691 10.2968 2.6774
O -4.8020 5.8653 0.5736
O -3.1157 -1.2603 -0.9467
O -9.0891 5.1585 3.4414
O -13.0480 12.0293 3.8651
O -7.0746 5.6105 -0.5230
O -4.0245 1.1138 -0.3835
O -10.7102 7.1750 3.1489
O -12.1393 9.6552 3.3019
O -5.4535 3.5941 -0.2306